Material: Tb2Ga5Au3
Method: DFT, PBE-GGA
State: optimized geometry

Summary:
The calculation puts the electronic total energy at -160.5 eV/cell.

Structure (CIF):
```
data_Tb2Ga5Au3
_chemical_formula_sum 'Tb8 Ga20 Au12'
_cell_length_a 10.9652
_cell_length_b 11.9553
_cell_length_c 6.0677
_cell_angle_alpha 90.00
_cell_angle_beta 90.00
_cell_angle_gamma 90.00
_symmetry_space_group_name_H-M 'I b a m'
_symmetry_Int_Tables_number 72
_symmetry_space_group_name_Hall '-I 2 2c'
loop_
_atom_site_label
_atom_site_type_symbol
_atom_site_fract_x
_atom_site_fract_y
_atom_site_fract_z
_atom_site_occupancy
Tb1 Tb 0.2446 0.1246 0.0000 1
Ga1 Ga 0.0000 0.0000 0.2500 1
Ga2 Ga 0.0000 0.2598 0.2500 1
Ga3 Ga 0.1433 0.3800 0.0000 1
Au1 Au 0.0000 0.5000 0.2500 1
Au2 Au 0.1315 0.1311 0.5000 1
```

---

Material: TbGa2Au2
Method: DFT, PBE-GGA
State: optimized geometry

Summary:
The calculation puts the electronic total energy at -40.2 eV/cell.

Structure (CIF):
```
data_TbGa2Au2
_chemical_formula_sum 'Tb2 Ga4 Au4'
_cell_length_a 4.4135
_cell_length_b 4.4135
_cell_length_c 10.3208
_cell_angle_alpha 90.00
_cell_angle_beta 90.00
_cell_angle_gamma 90.00
_symmetry_space_group_name_H-M 'I 4/m m m'
_symmetry_Int_Tables_number 139
_symmetry_space_group_name_Hall '-I 4 2'
loop_
_atom_site_label
_atom_site_type_symbol
_atom_site_fract_x
_atom_site_fract_y
_atom_site_fract_z
_atom_site_occupancy
Tb1 Tb 0.0000 0.0000 0.0000 1
Ga1 Ga 0.0000 0.0000 0.3833 1
Au1 Au 0.0000 0.5000 0.2500 1
```

---

Material: GaTcAu
Method: DFT, PBE-GGA
State: optimized geometry

Summary:
As for the energy above the most stable polymorph in this dataset: 0 meV per atom. The calculation puts the electronic total energy at -61.1 eV/cell.

Structure (CIF):
```
data_GaTcAu
_chemical_formula_sum 'Ga4 Tc4 Au4'
_cell_length_a 6.1450
_cell_length_b 6.1450
_cell_length_c 6.1450
_cell_angle_alpha 90.00
_cell_angle_beta 90.00
_cell_angle_gamma 90.00
_symmetry_space_group_name_H-M 'F -4 3 m'
_symmetry_Int_Tables_number 216
_symmetry_space_group_name_Hall 'F -4 2 3'
loop_
_atom_site_label
_atom_site_type_symbol
_atom_site_fract_x
_atom_site_fract_y
_atom_site_fract_z
_atom_site_occupancy
Ga1 Ga 0.0000 0.0000 0.0000 1
Tc1 Tc 0.2500 0.2500 0.7500 1
Au1 Au 0.0000 0.0000 0.5000 1
```

---

Material: GaTe2Au
Method: DFT, PBE-GGA
State: optimized geometry

Summary:
The calculation puts the electronic total energy at -46.5 eV/cell.

Structure (CIF):
```
data_GaTe2Au
_chemical_formula_sum 'Ga4 Te8 Au4'
_cell_length_a 7.3013
_cell_length_b 7.3013
_cell_length_c 7.3013
_cell_angle_alpha 90.00
_cell_angle_beta 90.00
_cell_angle_gamma 90.00
_symmetry_space_group_name_H-M 'F -4 3 m'
_symmetry_Int_Tables_number 216
_symmetry_space_group_name_Hall 'F -4 2 3'
loop_
_atom_site_label
_atom_site_type_symbol
_atom_site_fract_x
_atom_site_fract_y
_atom_site_fract_z
_atom_site_occupancy
Ga1 Ga 0.0000 0.0000 0.0000 1
Te1 Te 0.0000 0.0000 0.5000 1
Te2 Te 0.2500 0.2500 0.7500 1
Au1 Au 0.2500 0.2500 0.2500 1
```

---

Material: Th2Ga5Au3
Method: DFT, PBE-GGA
State: optimized geometry

Summary:
The calculation puts the electronic total energy at -182.3 eV/cell.

Structure (CIF):
```
data_Th2Ga5Au3
_chemical_formula_sum 'Th8 Ga20 Au12'
_cell_length_a 10.5859
_cell_length_b 12.3181
_cell_length_c 6.2340
_cell_angle_alpha 90.00
_cell_angle_beta 90.00
_cell_angle_gamma 90.00
_symmetry_space_group_name_H-M 'I b a m'
_symmetry_Int_Tables_number 72
_symmetry_space_group_name_Hall '-I 2 2c'
loop_
_atom_site_label
_atom_site_type_symbol
_atom_site_fract_x
_atom_site_fract_y
_atom_site_fract_z
_atom_site_occupancy
Th1 Th 0.2364 0.1271 0.0000 1
Ga1 Ga 0.0000 0.0000 0.2500 1
Ga2 Ga 0.0000 0.2683 0.2500 1
Ga3 Ga 0.1465 0.3823 0.0000 1
Au1 Au 0.0000 0.5000 0.2500 1
Au2 Au 0.1189 0.1341 0.5000 1
```

---

Material: TlGaAu
Method: DFT, PBE-GGA
State: optimized geometry

Summary:
As for the energy above the most stable polymorph in this dataset: 71 meV per atom. The calculation puts the electronic total energy at -35.2 eV/cell.

Structure (CIF):
```
data_TlGaAu
_chemical_formula_sum 'Tl4 Ga4 Au4'
_cell_length_a 6.6648
_cell_length_b 6.6648
_cell_length_c 6.6648
_cell_angle_alpha 90.00
_cell_angle_beta 90.00
_cell_angle_gamma 90.00
_symmetry_space_group_name_H-M 'F -4 3 m'
_symmetry_Int_Tables_number 216
_symmetry_space_group_name_Hall 'F -4 2 3'
loop_
_atom_site_label
_atom_site_type_symbol
_atom_site_fract_x
_atom_site_fract_y
_atom_site_fract_z
_atom_site_occupancy
Tl1 Tl 0.0000 0.0000 0.0000 1
Ga1 Ga 0.0000 0.0000 0.5000 1
Au1 Au 0.2500 0.2500 0.7500 1
```

---

Material: TlGaAu
Method: DFT, PBE-GGA
State: optimized geometry

Summary:
As for the energy above the most stable polymorph in this dataset: 0 meV per atom. The calculation puts the electronic total energy at -18.1 eV/cell.

Structure (CIF):
```
data_TlGaAu
_chemical_formula_sum 'Tl2 Ga2 Au2'
_cell_length_a 4.6945
_cell_length_b 4.6945
_cell_length_c 6.5941
_cell_angle_alpha 90.00
_cell_angle_beta 90.00
_cell_angle_gamma 90.00
_symmetry_space_group_name_H-M 'P 4/n m m'
_symmetry_Int_Tables_number 129
loop_
_symmetry_equiv_pos_as_xyz
'x,y,z'
'-x,-y,-z'
'-y+1/2,x,z'
'y+1/2,-x,-z'
'-x+1/2,-y+1/2,z'
'x+1/2,y+1/2,-z'
'y,-x+1/2,z'
'-y,x+1/2,-z'
'x+1/2,-y,-z'
'-x+1/2,y,z'
'-y,-x,-z'
'y,x,z'
'-x,y+1/2,-z'
'x,-y+1/2,z'
'y+1/2,x+1/2,-z'
'-y+1/2,-x+1/2,z'
loop_
_atom_site_label
_atom_site_type_symbol
_atom_site_fract_x
_atom_site_fract_y
_atom_site_fract_z
_atom_site_occupancy
Tl1 Tl 0.2500 0.7500 0.0000 1
Ga1 Ga 0.2500 0.7500 0.5000 1
Au1 Au 0.2500 0.2500 0.3048 1
```

---

Material: TlGaAu
Method: DFT, PBE-GGA
State: optimized geometry

Summary:
As for the energy above the most stable polymorph in this dataset: 78 meV per atom. The calculation puts the electronic total energy at -17.6 eV/cell.

Structure (CIF):
```
data_TlGaAu
_chemical_formula_sum 'Tl2 Ga2 Au2'
_cell_length_a 4.7089
_cell_length_b 4.7089
_cell_length_c 6.6884
_cell_angle_alpha 90.00
_cell_angle_beta 90.00
_cell_angle_gamma 90.00
_symmetry_space_group_name_H-M 'P 42/m m c'
_symmetry_Int_Tables_number 131
_symmetry_space_group_name_Hall '-P 4c 2'
loop_
_atom_site_label
_atom_site_type_symbol
_atom_site_fract_x
_atom_site_fract_y
_atom_site_fract_z
_atom_site_occupancy
Tl1 Tl 0.0000 0.0000 0.2500 1
Ga1 Ga 0.5000 0.5000 0.2500 1
Au1 Au 0.0000 0.5000 0.0000 1
```

---

- Number 6 is which compound?
  TlGaAu